Density functional theory data (PBE-GGA) for crystalline Rb2GaTe2 at its relaxed geometry.

Calculated values
* total magnetization: 0.0000 μB/atom
* E above lowest polymorph: 0.0000 eV per atom
* formation energy (no corrections): -0.7426 eV per atom

a b c (Å): 7.753 14.953 7.219
angles (deg): 90.00 90.00 90.00
Space group Ibam (No. 72)
One atom of each set of equivalent atoms:
1 Rb 0.181 0.141 0.000
2 Ga 0.000 0.500 0.250
3 Te 0.196 0.391 0.000